## Ca3Zn9Ir2 (GGA-PBE)

Data for an optimized crystal structure of Ca3Zn9Ir2.

Cell lengths 4.2754, 9.2582, 12.9880 Å; angles 90.00, 90.00, 90.00 degrees
Space group Immm (No. 71)
Unique sites:
Ca (0.0000, 0.0000, 0.0000)
Ca (0.0000, 0.0000, 0.3079)
Zn (0.0000, 0.2802, 0.1209)
Zn (0.0000, 0.3566, 0.3361)
Zn (0.0000, 0.5000, 0.0000)
Ir (0.0000, 0.1894, 0.5000)

For the energy of formation from the pure elements, the calculation gives -300 meV/atom. Its total magnetization is 0.000 μB/f.u. The calculation puts the uncorrected energy at -2.81 eV per atom.

---

## Ca2Zn15Ir2 (GGA-PBE)

Data for an optimized crystal structure of Ca2Zn15Ir2.

Cell lengths 9.0099, 9.0099, 13.1947 Å; angles 90.00, 90.00, 120.00 degrees
Space group R-3m (No. 166, hexagonal axes)
Unique sites:
Ca (0.0000, 0.0000, 0.1638)
Zn (0.0000, 0.2843, 0.5000)
Zn (0.0000, 0.5000, 0.0000)
Zn (0.0030, 0.5015, 0.3507)
Ir (0.0000, 0.0000, 0.3949)

For the energy of formation from the pure elements, the calculation gives -185 meV/atom. Its total magnetization is 0.000 μB/f.u. The calculation puts the uncorrected energy at -2.33 eV per atom.

---

## Ca2Zn3Ir (GGA-PBE)

Data for an optimized crystal structure of Ca2Zn3Ir.

Cell lengths 4.6380, 5.2316, 10.8961 Å; angles 90.00, 90.00, 90.00 degrees
Space group Immm (No. 71)
Unique sites:
Ca (0.0000, 0.0000, 0.2199)
Zn (0.0000, 0.5000, 0.1085)
Zn (0.0000, 0.5000, 0.5000)
Ir (0.0000, 0.0000, 0.5000)

For the energy of formation from the pure elements, the calculation gives -146 meV/atom. Its total magnetization is 0.000 μB/f.u. The calculation puts the uncorrected energy at -2.93 eV per atom. The distance to the lowest polymorph of the same formula is 261 meV/atom.

---

## CaZn2Ir (GGA-PBE)

Data for an optimized crystal structure of CaZn2Ir.

Cell lengths 5.5171, 6.7776, 4.4979 Å; angles 90.00, 90.00, 90.00 degrees
Space group Cmmm (No. 65)
Unique sites:
Ca (0.0000, 0.0000, 0.0000)
Zn (0.0000, 0.3187, 0.5000)
Ir (0.0000, 0.5000, 0.0000)

For the energy of formation from the pure elements, the calculation gives -41 meV/atom. Its total magnetization is 0.000 μB/f.u. The calculation puts the uncorrected energy at -3.39 eV per atom.

---

## CaZnIr2 (GGA-PBE)

Data for an optimized crystal structure of CaZnIr2.

Cell lengths 6.4792, 6.4792, 6.4792 Å; angles 90.00, 90.00, 90.00 degrees
Space group F-43m (No. 216)
Unique sites:
Ca (0.0000, 0.0000, 0.0000)
Zn (0.2500, 0.2500, 0.2500)
Ir (0.0000, 0.0000, 0.5000)
Ir (0.2500, 0.2500, 0.7500)

For the energy of formation from the pure elements, the calculation gives 94 meV/atom. Its total magnetization is 1.164 μB/f.u. The calculation puts the uncorrected energy at -5.16 eV per atom.

---

## CaZn6Ir4 (GGA-PBE)

Data for an optimized crystal structure of CaZn6Ir4.

Cell lengths 6.5686, 6.5686, 9.5636 Å; angles 90.00, 90.00, 90.00 degrees
Space group I-42m (No. 121)
Unique sites:
Ca (0.0000, 0.0000, 0.0000)
Zn (0.0000, 0.5000, 0.0000)
Zn (0.1919, 0.1919, 0.2931)
Ir (0.1617, 0.1617, 0.5808)

For the energy of formation from the pure elements, the calculation gives -4 meV/atom. Its total magnetization is 0.000 μB/f.u. The calculation puts the uncorrected energy at -4.10 eV per atom.

---

## CaZn11Ir (GGA-PBE)

Data for an optimized crystal structure of CaZn11Ir.

Cell lengths 5.2034, 12.9413, 6.6513 Å; angles 90.00, 110.84, 90.00 degrees
Space group C2/m (No. 12)
Unique sites:
Ca (0.0000, 0.0000, 0.0000)
Zn (0.0000, 0.5000, 0.5000)
Zn (0.1139, 0.3899, 0.2168)
Zn (0.1564, 0.1741, 0.3567)
Zn (0.2500, 0.2500, 0.0000)
Ir (0.0000, 0.0000, 0.5000)

For the energy of formation from the pure elements, the calculation gives -181 meV/atom. Its total magnetization is 0.000 μB/f.u. The calculation puts the uncorrected energy at -2.09 eV per atom.

---

## CaZn2Ir (GGA-PBE)

Data for an optimized crystal structure of CaZn2Ir.

Cell lengths 5.5897, 9.4856, 3.0926 Å; angles 90.00, 119.01, 90.00 degrees
Space group C2/m (No. 12)
Unique sites:
Ca (0.0000, 0.0000, 0.0000)
Zn (0.2500, 0.2500, 0.5000)
Ir (0.0000, 0.5000, 0.0000)

For the energy of formation from the pure elements, the calculation gives 60 meV/atom. Its total magnetization is 0.000 μB/f.u. The calculation puts the uncorrected energy at -3.29 eV per atom.

---

Which of these has the highest energy of formation from the pure elements? CaZnIr2

---

Number 2 is which compound? Ca2Zn15Ir2